Cu2AgAu at its PBEsol-relaxed geometry, computed with SCAN.

Output
- Formation energy from the elements: 0.001 eV per atom
- Crystal system: monoclinic
- Energy above the lowest structure with this stoichiometry: 14 meV per atom
- ρ: 12.8 g/cm3
- Final energy: -261.84 eV for the cell shown

Lattice parameters (Å, degrees): 9.4480 2.7669 4.5355 90.00 108.60 90.00
With the nearest neighbours (Å) after each atom.
Positions (direct):
Cu 0.0000 0.0000 0.0000  4 Cu 2.50-2.77, 3 Ag 2.66-2.70, 4 Au 2.67
Cu 0.2185 0.5000 0.3019  4 Cu 2.50-2.77, 3 Au 2.65-2.71, 4 Ag 2.67
Cu 0.5000 0.5000 0.0000  4 Cu 2.50-2.77, 3 Ag 2.66-2.70, 4 Au 2.67
Cu 0.7185 0.0000 0.3019  4 Cu 2.50-2.77, 3 Au 2.65-2.71, 4 Ag 2.67
Ag 0.2462 0.0000 0.8200  7 Cu 2.66-2.70, 2 Ag 2.77, 2 Au 2.92
Ag 0.7462 0.5000 0.8200  7 Cu 2.66-2.70, 2 Ag 2.77, 2 Au 2.92
Au 0.4707 0.0000 0.4801  7 Cu 2.65-2.71, 2 Au 2.77, 2 Ag 2.92
Au 0.9707 0.5000 0.4801  7 Cu 2.65-2.71, 2 Au 2.77, 2 Ag 2.92